# Tb2Al5Au3, optimized geometry, DFT PBE
data_Tb2Al5Au3
_symmetry_space_group_name_H-M 'P 1'
_symmetry_Int_Tables_number 1
_cell_length_a 6.0895
_cell_length_b 8.6271
_cell_length_c 8.6271
_cell_angle_alpha 78.29
_cell_angle_beta 69.33
_cell_angle_gamma 69.33
loop_
_symmetry_equiv_pos_as_xyz
'x,y,z'
loop_
_atom_site_label
_atom_site_type_symbol
_atom_site_fract_x
_atom_site_fract_y
_atom_site_fract_z
Tb1 Tb 0.1296 0.6099 0.1309
Tb2 Tb 0.6296 0.1309 0.6099
Tb3 Tb 0.8704 0.3901 0.8691
Tb4 Tb 0.3704 0.8691 0.3901
Al1 Al 0.3865 0.2591 0.9678
Al2 Al 0.8865 0.9678 0.2591
Al3 Al 0.6135 0.7409 0.0322
Al4 Al 0.1135 0.0322 0.7409
Al5 Al 0.4911 0.7589 0.7589
Al6 Al 0.5089 0.2411 0.2411
Al7 Al 0.7500 0.5000 0.5000
Al8 Al 0.2500 0.5000 0.5000
Al9 Al 0.0089 0.2411 0.2411
Al10 Al 0.9911 0.7589 0.7589
Au1 Au 0.3702 0.5012 0.7585
Au2 Au 0.8702 0.7585 0.5012
Au3 Au 0.6298 0.4988 0.2415
Au4 Au 0.1298 0.2415 0.4988
Au5 Au 0.2500 0.0000 0.0000
Au6 Au 0.7500 0.0000 0.0000
# energy relative to the lowest polymorph listed for this composition = 0.000 eV/atom
# space group = Ibam

# KInFeBr2, optimized geometry, DFT PBE
data_KInFeBr2
_symmetry_space_group_name_H-M 'P 1'
_symmetry_Int_Tables_number 1
_cell_length_a 5.9089
_cell_length_b 5.9089
_cell_length_c 6.4433
_cell_angle_alpha 90.00
_cell_angle_beta 90.00
_cell_angle_gamma 90.00
loop_
_symmetry_equiv_pos_as_xyz
'x,y,z'
loop_
_atom_site_label
_atom_site_type_symbol
_atom_site_fract_x
_atom_site_fract_y
_atom_site_fract_z
K1 K 0.0000 0.0000 0.0000
Fe1 Fe 0.5000 0.5000 0.5000
Br1 Br 0.0000 0.5000 0.0000
Br2 Br 0.5000 0.0000 0.0000
In1 In 0.0000 0.0000 0.5000
# uncorrected formation energy = 2.02 eV per formula unit
# space group = P4/mmm

# ZrSc2Al, optimized geometry, DFT PBE
data_ZrSc2Al
_symmetry_space_group_name_H-M 'P 1'
_symmetry_Int_Tables_number 1
_cell_length_a 4.3118
_cell_length_b 3.1626
_cell_length_c 7.0712
_cell_angle_alpha 63.39
_cell_angle_beta 90.00
_cell_angle_gamma 90.00
loop_
_symmetry_equiv_pos_as_xyz
'x,y,z'
loop_
_atom_site_label
_atom_site_type_symbol
_atom_site_fract_x
_atom_site_fract_y
_atom_site_fract_z
Sc1 Sc 0.0000 0.0069 0.9939
Sc2 Sc 0.0000 0.4931 0.5061
Al1 Al 0.5000 0.7500 0.7500
Zr1 Zr 0.5000 0.2500 0.2500
# DFT total energy = -0.472 Ry/atom
# space group = Pmmm

Number 1: density of states at the Fermi level 7.9 states/eV/cell. Number 2: density of states at the Fermi level 1.3 states/eV/cell. Number 3: density of states at the Fermi level 5.0 states/eV/cell.